# 1
Computed, not measured: a relaxed structure of KMg3Bi at the PBEsol level of DFT.

Cell lengths 5.658, 5.658, 5.658 Å; angles 90.00, 90.00, 90.00 degrees
Positions (direct):
K 0.000 0.000 0.000
Mg 0.000 0.000 0.500
Mg 0.000 0.500 0.000
Mg 0.500 0.000 0.000
Bi 0.500 0.500 0.500

Output
- DFT formation energy: 1.022 eV per atom

***

# 2
Computed, not measured: a relaxed structure of KMgReBi2 at the PBEsol level of DFT.

Cell lengths 5.507, 5.507, 5.040 Å; angles 90.00, 90.00, 90.00 degrees
Positions (direct):
K 0.000 0.000 0.000
Mg 0.500 0.500 0.500
Re 0.500 0.500 0.000
Bi 0.000 0.500 0.500
Bi 0.500 0.000 0.500

Output
- DFT formation energy: 1.178 eV per atom

***

# 3
Computed, not measured: a relaxed structure of KSr2MgBi at the PBEsol level of DFT.

Cell lengths 6.398, 6.398, 5.640 Å; angles 90.00, 90.00, 90.00 degrees
Positions (direct):
K 0.000 0.000 0.000
Sr 0.000 0.500 0.500
Sr 0.500 0.000 0.500
Mg 0.500 0.500 0.500
Bi 0.500 0.500 0.000

Output
- DFT formation energy: 0.044 eV per atom

***

# 4
Computed, not measured: a relaxed structure of KMgBi2W at the PBEsol level of DFT.

Cell lengths 5.721, 5.721, 5.371 Å; angles 90.00, 90.00, 90.00 degrees
Positions (direct):
K 0.000 0.000 0.000
Mg 0.500 0.500 0.500
Bi 0.000 0.500 0.000
Bi 0.500 0.000 0.000
W 0.000 0.000 0.500

Output
- DFT formation energy: 2.179 eV per atom